No. 1
Below is a relaxed structure of SmY7Mg4, with properties calculated at the PBE-GGA level.

Unit cell a=5.755 b=9.105 c=8.089 alpha=69.13 beta=69.16 gamma=71.58
Site moments in Bohr magnetons follow the coordinates.
Fractional positions:
Sm (0.000, 0.000, 0.000)  0.10
Y (0.795, 0.879, 0.531)  0.01
Y (0.205, 0.121, 0.469)  0.01
Y (0.078, 0.577, 0.266)  0.01
Y (0.922, 0.423, 0.734)  0.01
Y (0.254, 0.706, 0.787)  0.00
Y (0.500, 0.000, 0.000)  0.09
Y (0.746, 0.294, 0.213)  0.00
Mg (0.542, 0.301, 0.616)  0.00
Mg (0.458, 0.699, 0.384)  0.00
Mg (0.676, 0.656, 0.993)  0.00
Mg (0.324, 0.344, 0.007)  0.00

Properties
The value obtained for the formation energy is 148 meV per atom. The total energy comes out at -4.55 eV/atom. The symmetry is C2/m, No. 12.

No. 2
Below is a relaxed structure of Sm4YMg, with properties calculated at the PBE-GGA level.

Unit cell a=3.637 b=3.637 c=14.456 alpha=90.00 beta=90.00 gamma=90.00
Fractional positions:
Sm (0.500, 0.500, 0.176)
Sm (0.000, 0.000, 0.651)
Sm (0.000, 0.000, 0.349)
Sm (0.500, 0.500, 0.824)
Y (0.000, 0.000, 0.000)
Mg (0.500, 0.500, 0.500)

Properties
The value obtained for the formation energy is -20 meV per atom. The total energy comes out at -4.51 eV/atom. The symmetry is P4/mmm, No. 123.

No. 3
Below is a relaxed structure of Sm6Y2Mg, with properties calculated at the PBE-GGA level.

Unit cell a=5.083 b=10.715 c=10.715 alpha=90.00 beta=90.00 gamma=90.00
Fractional positions:
Sm (0.000, 0.999, 0.166)
Sm (0.000, 0.666, 0.498)
Sm (0.000, 0.667, 0.833)
Sm (0.500, 0.167, 0.667)
Sm (0.500, 0.166, 0.002)
Sm (0.500, 0.499, 0.334)
Sm (0.000, 0.001, 0.834)
Sm (0.000, 0.334, 0.502)
Sm (0.000, 0.333, 0.167)
Sm (0.500, 0.833, 0.333)
Sm (0.500, 0.834, 0.998)
Sm (0.500, 0.501, 0.666)
Y (0.000, 0.336, 0.836)
Y (0.500, 0.836, 0.664)
Y (0.500, 0.164, 0.336)
Y (0.000, 0.664, 0.164)
Mg (0.500, 0.500, 0.000)
Mg (0.000, 0.000, 0.500)

Properties
The value obtained for the formation energy is 22 meV per atom. The total energy comes out at -4.74 eV/atom. The symmetry is P4_2/mnm, No. 136.

No. 4
Below is a relaxed structure of Sm3Y2Mg, with properties calculated at the PBE-GGA level.

Unit cell a=3.634 b=3.634 c=14.393 alpha=90.00 beta=90.00 gamma=90.00
Fractional positions:
Sm (0.000, 0.000, 0.000)
Sm (0.000, 0.000, 0.651)
Sm (0.000, 0.000, 0.349)
Y (0.500, 0.500, 0.825)
Y (0.500, 0.500, 0.175)
Mg (0.500, 0.500, 0.500)

Properties
The value obtained for the formation energy is -15 meV per atom. The total energy comes out at -4.80 eV/atom. The symmetry is P4/mmm, No. 123.

No. 5
Below is a relaxed structure of Sm3YMg6, with properties calculated at the PBE-GGA level.

Unit cell a=5.303 b=9.388 c=11.343 alpha=105.34 beta=90.00 gamma=90.00
Fractional positions:
Sm (0.250, 0.537, 0.396)
Sm (0.750, 0.463, 0.604)
Sm (0.250, 0.352, 0.794)
Sm (0.750, 0.648, 0.206)
Sm (0.250, 0.753, 0.006)
Sm (0.750, 0.247, 0.994)
Y (0.250, 0.949, 0.603)
Y (0.750, 0.051, 0.397)
Mg (0.250, 0.439, 0.099)
Mg (0.750, 0.561, 0.901)
Mg (0.250, 0.144, 0.194)
Mg (0.750, 0.856, 0.806)
Mg (0.250, 0.666, 0.709)
Mg (0.750, 0.334, 0.291)
Mg (0.250, 0.238, 0.490)
Mg (0.750, 0.762, 0.510)
Mg (0.250, 0.859, 0.306)
Mg (0.750, 0.141, 0.694)
Mg (0.250, 0.046, 0.899)
Mg (0.750, 0.954, 0.101)

Properties
The value obtained for the formation energy is -80 meV per atom. The total energy comes out at -3.10 eV/atom. The symmetry is P2_1/m, No. 11.

No. 6
Below is a relaxed structure of Sm6Y3Mg, with properties calculated at the PBE-GGA level.

Unit cell a=5.080 b=11.252 c=11.358 alpha=90.66 beta=90.00 gamma=90.00
Fractional positions:
Sm (0.250, 0.448, 0.102)
Sm (0.750, 0.552, 0.898)
Sm (0.250, 0.150, 0.196)
Sm (0.750, 0.850, 0.804)
Sm (0.250, 0.654, 0.701)
Sm (0.750, 0.346, 0.299)
Sm (0.250, 0.245, 0.498)
Sm (0.750, 0.755, 0.502)
Sm (0.250, 0.852, 0.307)
Sm (0.750, 0.148, 0.693)
Sm (0.250, 0.048, 0.897)
Sm (0.750, 0.952, 0.103)
Y (0.250, 0.550, 0.400)
Y (0.750, 0.450, 0.600)
Y (0.250, 0.350, 0.796)
Y (0.750, 0.650, 0.204)
Y (0.250, 0.752, 0.004)
Y (0.750, 0.248, 0.996)
Mg (0.250, 0.953, 0.597)
Mg (0.750, 0.047, 0.403)

Properties
The value obtained for the formation energy is 16 meV per atom. The total energy comes out at -4.91 eV/atom. The symmetry is P2_1/m, No. 11.

No. 7
Below is a relaxed structure of Sm3Y3Mg, with properties calculated at the PBE-GGA level.

Unit cell a=6.223 b=6.223 c=14.510 alpha=77.62 beta=77.62 gamma=60.00
Fractional positions:
Sm (0.203, 0.870, 0.391)
Sm (0.536, 0.203, 0.391)
Sm (0.870, 0.536, 0.391)
Sm (0.130, 0.464, 0.609)
Sm (0.464, 0.797, 0.609)
Sm (0.797, 0.130, 0.609)
Y (0.938, 0.273, 0.188)
Y (0.601, 0.938, 0.188)
Y (0.273, 0.601, 0.188)
Y (0.727, 0.399, 0.812)
Y (0.399, 0.062, 0.812)
Y (0.062, 0.727, 0.812)
Mg (0.667, 0.667, 0.000)
Mg (0.333, 0.333, 0.000)

Properties
The value obtained for the formation energy is 114 meV per atom. The total energy comes out at -4.91 eV/atom. The symmetry is R-3, No. 148.

No. 8
Below is a relaxed structure of SmYMg4, with properties calculated at the PBE-GGA level.

Unit cell a=6.068 b=6.068 c=6.068 alpha=60.00 beta=60.00 gamma=60.00
Fractional positions:
Y (0.000, 0.000, 0.000)
Mg (0.625, 0.625, 0.125)
Mg (0.625, 0.125, 0.625)
Mg (0.625, 0.625, 0.625)
Mg (0.125, 0.625, 0.625)
Sm (0.250, 0.250, 0.250)

Properties
The value obtained for the formation energy is -91 meV per atom. The total energy comes out at -3.02 eV/atom. The symmetry is F-43m, No. 216.

No. 9
Below is a relaxed structure of Sm2YMg4, with properties calculated at the PBE-GGA level.

Unit cell a=5.580 b=5.580 c=9.021 alpha=108.02 beta=108.02 gamma=90.00
Fractional positions:
Sm (0.605, 0.605, 0.210)
Sm (0.395, 0.395, 0.790)
Y (0.000, 0.000, 0.000)
Mg (0.813, 0.813, 0.625)
Mg (0.187, 0.187, 0.375)
Mg (0.000, 0.500, 0.000)
Mg (0.500, 0.000, 0.000)

Properties
The value obtained for the formation energy is 552 meV per atom. The total energy comes out at -2.63 eV/atom. The symmetry is I4/mmm, No. 139.

No. 10
Below is a relaxed structure of Sm12Y7Mg, with properties calculated at the PBE-GGA level.

Unit cell a=9.971 b=9.971 c=9.971 alpha=109.47 beta=109.47 gamma=109.47
Fractional positions:
Sm (0.544, 0.772, 0.773)
Sm (0.999, 0.772, 0.227)
Sm (0.456, 0.228, 0.227)
Sm (0.001, 0.228, 0.773)
Sm (0.773, 0.001, 0.228)
Sm (0.773, 0.544, 0.772)
Sm (0.227, 0.999, 0.772)
Sm (0.227, 0.456, 0.228)
Sm (0.772, 0.773, 0.544)
Sm (0.228, 0.227, 0.456)
Sm (0.772, 0.227, 0.999)
Sm (0.228, 0.773, 0.001)
Y (0.500, 0.500, 0.000)
Y (0.000, 0.500, 0.500)
Y (0.500, 0.000, 0.500)
Y (0.500, 0.500, 0.500)
Y (0.000, 0.000, 0.500)
Y (0.500, 0.000, 0.000)
Y (0.000, 0.500, 0.000)
Mg (0.000, 0.000, 0.000)

Properties
The value obtained for the formation energy is 701 meV per atom. The total energy comes out at -4.47 eV/atom. The symmetry is Im-3, No. 204.

No. 11
Below is a relaxed structure of Sm9Y4Mg11, with properties calculated at the PBE-GGA level.

Unit cell a=3.667 b=14.100 c=14.100 alpha=108.37 beta=90.00 gamma=90.00
Site moments in Bohr magnetons follow the coordinates.
Fractional positions:
Sm (0.500, 0.622, 0.152)  -0.02
Sm (0.500, 0.378, 0.848)  -0.02
Sm (0.500, 0.152, 0.622)  -0.02
Sm (0.500, 0.848, 0.378)  -0.02
Sm (0.500, 0.793, 0.975)  0.00
Sm (0.500, 0.207, 0.025)  0.00
Sm (0.500, 0.975, 0.793)  0.00
Sm (0.500, 0.025, 0.207)  0.00
Sm (0.500, 0.500, 0.500)  0.23
Y (0.500, 0.577, 0.748)  0.07
Y (0.500, 0.423, 0.252)  0.07
Y (0.500, 0.748, 0.577)  0.07
Y (0.500, 0.252, 0.423)  0.07
Mg (0.000, 0.588, 0.945)  0.00
Mg (0.000, 0.412, 0.055)  0.00
Mg (0.000, 0.945, 0.588)  0.00
Mg (0.000, 0.055, 0.412)  0.00
Mg (0.000, 0.633, 0.367)  0.00
Mg (0.000, 0.367, 0.633)  0.00
Mg (0.000, 0.824, 0.176)  0.00
Mg (0.000, 0.176, 0.824)  0.00
Mg (0.000, 0.000, 0.000)  0.00
Mg (0.000, 0.776, 0.776)  0.00
Mg (0.000, 0.224, 0.224)  0.00

Properties
The value obtained for the formation energy is -44 meV per atom. The total energy comes out at -3.62 eV/atom. The symmetry is Cmmm, No. 65.

No. 12
Below is a relaxed structure of Sm3Y2Mg3, with properties calculated at the PBE-GGA level.

Unit cell a=3.801 b=5.520 c=11.774 alpha=103.56 beta=99.29 gamma=90.00
Fractional positions:
Sm (0.625, 0.625, 0.250)
Sm (0.375, 0.375, 0.750)
Sm (0.500, 0.000, 0.000)
Y (0.735, 0.235, 0.470)
Y (0.265, 0.765, 0.530)
Mg (0.118, 0.118, 0.236)
Mg (0.000, 0.500, 0.000)
Mg (0.882, 0.882, 0.764)

Properties
The value obtained for the formation energy is -68 meV per atom. The total energy comes out at -4.05 eV/atom. The symmetry is Immm, No. 71.

No. 13
Below is a relaxed structure of Sm14YMg, with properties calculated at the PBE-GGA level.

Unit cell a=7.198 b=7.198 c=10.189 alpha=90.00 beta=90.00 gamma=90.00
Fractional positions:
Sm (0.375, 0.625, 0.500)
Sm (0.875, 0.125, 0.500)
Sm (0.875, 0.626, 0.000)
Sm (0.875, 0.625, 0.500)
Sm (0.374, 0.125, 0.000)
Sm (0.375, 0.125, 0.500)
Sm (0.625, 0.875, 0.752)
Sm (0.625, 0.875, 0.248)
Sm (0.125, 0.375, 0.752)
Sm (0.125, 0.375, 0.248)
Sm (0.125, 0.875, 0.752)
Sm (0.125, 0.875, 0.248)
Sm (0.625, 0.375, 0.752)
Sm (0.625, 0.375, 0.248)
Y (0.375, 0.625, 0.000)
Mg (0.874, 0.126, 0.000)

Properties
The value obtained for the formation energy is 13 meV per atom. The total energy comes out at -4.62 eV/atom. The symmetry is Amm2, No. 38.

No. 14
Below is a relaxed structure of SmYMg17, with properties calculated at the PBE-GGA level.

Unit cell a=7.789 b=7.789 c=7.789 alpha=82.15 beta=82.15 gamma=82.15
Fractional positions:
Sm (0.671, 0.671, 0.671)
Y (0.329, 0.329, 0.329)
Mg (0.302, 0.001, 0.697)
Mg (0.697, 0.302, 0.001)
Mg (0.001, 0.697, 0.302)
Mg (0.302, 0.697, 0.001)
Mg (0.001, 0.302, 0.697)
Mg (0.697, 0.001, 0.302)
Mg (0.353, 0.841, 0.353)
Mg (0.353, 0.353, 0.841)
Mg (0.841, 0.353, 0.353)
Mg (0.646, 0.161, 0.646)
Mg (0.646, 0.646, 0.161)
Mg (0.161, 0.646, 0.646)
Mg (0.999, 0.501, 0.999)
Mg (0.999, 0.999, 0.501)
Mg (0.501, 0.999, 0.999)
Mg (0.901, 0.901, 0.901)
Mg (0.100, 0.100, 0.100)

Properties
The value obtained for the formation energy is -32 meV per atom. The total energy comes out at -2.05 eV/atom. The symmetry is R3m, No. 160.

No. 15
Below is a relaxed structure of SmYMg, with properties calculated at the PBE-GGA level.

Unit cell a=3.731 b=5.571 c=8.854 alpha=90.00 beta=102.13 gamma=90.00
Fractional positions:
Sm (0.089, 0.250, 0.680)
Sm (0.911, 0.750, 0.320)
Y (0.772, 0.250, 0.045)
Y (0.228, 0.750, 0.955)
Mg (0.431, 0.250, 0.362)
Mg (0.569, 0.750, 0.638)

Properties
The value obtained for the formation energy is -68 meV per atom. The total energy comes out at -4.33 eV/atom. The symmetry is P2_1/m, No. 11.

No. 16
Below is a relaxed structure of Sm12Y5Mg2, with properties calculated at the PBE-GGA level.

Unit cell a=9.136 b=9.136 c=8.595 alpha=92.11 beta=90.00 gamma=120.00
Fractional positions:
Sm (0.919, 0.838, 0.116)
Sm (0.036, 0.703, 0.763)
Sm (0.667, 0.703, 0.763)
Sm (0.178, 0.746, 0.321)
Sm (0.568, 0.746, 0.321)
Sm (0.442, 0.885, 0.659)
Sm (0.558, 0.115, 0.341)
Sm (0.822, 0.254, 0.679)
Sm (0.432, 0.254, 0.679)
Sm (0.964, 0.297, 0.237)
Sm (0.333, 0.297, 0.237)
Sm (0.081, 0.162, 0.884)
Y (0.233, 0.466, 0.571)
Y (0.297, 0.594, 0.977)
Y (0.000, 0.000, 0.500)
Y (0.703, 0.406, 0.023)
Y (0.767, 0.534, 0.429)
Mg (0.665, 0.000, 0.000)
Mg (0.335, 0.000, 0.000)

Properties
The value obtained for the formation energy is 91 meV per atom. The total energy comes out at -4.76 eV/atom. The symmetry is C2/m, No. 12.

No. 17
Below is a relaxed structure of Sm6Y2Mg, with properties calculated at the PBE-GGA level.

Unit cell a=6.120 b=11.524 c=11.524 alpha=48.45 beta=105.37 gamma=105.37
Fractional positions:
Sm (0.429, 0.653, 0.504)
Sm (0.071, 0.496, 0.347)
Sm (0.571, 0.347, 0.496)
Sm (0.929, 0.504, 0.653)
Sm (0.919, 0.919, 0.418)
Sm (0.581, 0.582, 0.081)
Sm (0.081, 0.081, 0.582)
Sm (0.419, 0.418, 0.919)
Sm (0.269, 0.846, 0.996)
Sm (0.231, 0.004, 0.154)
Sm (0.731, 0.154, 0.004)
Sm (0.769, 0.996, 0.846)
Y (0.447, 0.830, 0.670)
Y (0.053, 0.330, 0.170)
Y (0.553, 0.170, 0.330)
Y (0.947, 0.670, 0.830)
Mg (0.250, 0.249, 0.751)
Mg (0.750, 0.751, 0.249)

Properties
The value obtained for the formation energy is 67 meV per atom. The total energy comes out at -4.69 eV/atom. The symmetry is C2/c, No. 15.

No. 18
Below is a relaxed structure of SmY4Mg, with properties calculated at the PBE-GGA level.

Unit cell a=3.624 b=3.624 c=14.228 alpha=90.00 beta=90.00 gamma=90.00
Fractional positions:
Sm (0.000, 0.000, 0.000)
Y (0.500, 0.500, 0.177)
Y (0.000, 0.000, 0.648)
Y (0.000, 0.000, 0.352)
Y (0.500, 0.500, 0.823)
Mg (0.500, 0.500, 0.500)

Properties
The value obtained for the formation energy is -18 meV per atom. The total energy comes out at -5.38 eV/atom. The symmetry is P4/mmm, No. 123.

No. 19
Below is a relaxed structure of SmYMg, with properties calculated at the PBE-GGA level.

Unit cell a=6.181 b=3.342 c=9.251 alpha=79.60 beta=90.00 gamma=90.00
Fractional positions:
Y (0.750, 0.658, 0.685)
Y (0.250, 0.342, 0.315)
Sm (0.500, 0.000, 0.000)
Sm (0.000, 0.000, 0.000)
Mg (0.750, 0.836, 0.327)
Mg (0.250, 0.164, 0.673)

Properties
The value obtained for the formation energy is 212 meV per atom. The total energy comes out at -4.05 eV/atom. The symmetry is Cmcm, No. 63.